(1)
Entry from Alexandria: a relaxed Cs2Hg12Au5 crystal (PBE-GGA).

```
Cs2Hg12Au5
1.0
-6.0415 -5.3300 0.8430
1.6655 -4.9900 7.2677
-5.1387 3.5966 6.4027
Au Cs Hg
5 2 12
direct
0.5000 0.0000 0.0000
0.0000 0.0000 0.5000
0.1642 0.0169 0.9821
0.0000 0.5000 0.0000
0.8358 0.9831 0.0179
0.4862 0.7199 0.7414
0.5138 0.2801 0.2586
0.8107 0.8532 0.3665
0.9733 0.7752 0.7736
0.3213 0.3213 0.8403
0.6813 0.1449 0.6926
0.0267 0.2248 0.2264
0.8256 0.4559 0.4765
0.3187 0.8551 0.3074
0.1744 0.5441 0.5235
0.1544 0.6774 0.1334
0.8456 0.3226 0.8666
0.6787 0.6787 0.1597
0.1893 0.1468 0.6335
```

Summary:
D(E_F) ... 4.08 states/eV/f.u.
Energy relative to the elements ... -0.0923 eV per atom
Spin magnetization ... 0.0000 μB/atom
E ... -0.04539 Ha/atom



(2)
Entry from Alexandria: a relaxed Pr2NbTc2N6 crystal (PBE-GGA).

```
Pr2NbTc2N6
1.0
5.9960 0.0000 0.0000
2.9980 5.1927 0.0000
2.9980 1.7309 5.4761
Pr Nb Tc N
2 1 2 6
direct
0.2043 0.2043 0.3870
0.7957 0.7957 0.6130
0.0000 0.0000 0.0000
0.4324 0.4324 0.7028
0.5676 0.5676 0.2972
0.2365 0.2365 0.7544
0.2273 0.7635 0.2456
0.7635 0.7635 0.2456
0.7727 0.2365 0.7544
0.2365 0.7727 0.7544
0.7635 0.2273 0.2456
```

Summary:
D(E_F) ... 4.40 states/eV/f.u.
Spin magnetization ... 0.0000 μB/atom
E ... -0.31872 Ha/atom
ΔE_f (raw) ... -463 meV per atom



(3)
Entry from Alexandria: a relaxed Pm12HoSb6 crystal (PBE-GGA).

```
Pm12HoSb6
1.0
-7.0988 1.4415 -5.4009
3.7344 -7.5476 -3.2755
-3.7028 -2.6144 7.8164
Pm Sb Ho
12 6 1
direct
0.4754 0.8265 0.6148
0.6148 0.4754 0.8265
0.1735 0.3852 0.5246
0.0654 0.6717 0.9668
0.9346 0.3283 0.0332
0.9668 0.0654 0.6717
0.6717 0.9668 0.0654
0.0332 0.9346 0.3283
0.5246 0.1735 0.3852
0.8265 0.6148 0.4754
0.3852 0.5246 0.1735
0.3283 0.0332 0.9346
0.8657 0.3706 0.6630
0.3706 0.6630 0.8657
0.1343 0.6294 0.3370
0.3370 0.1343 0.6294
0.6630 0.8657 0.3706
0.6294 0.3370 0.1343
0.0000 0.0000 0.0000
```

Summary:
D(E_F) ... 18.17 states/eV/f.u.
Spin magnetization ... 0.0000 μB/atom
E ... -0.18489 Ha/atom
ΔE_f (raw) ... -488 meV per atom



(4)
Entry from Alexandria: a relaxed TaSiHg2 crystal (PBE-GGA).

```
TaSiHg2
1.0
5.8855 0.0046 0.0388
3.2074 4.9347 -0.0388
-4.0551 -3.3741 2.6099
Hg Ta Si
2 1 1
direct
0.9802 0.9802 0.0000
0.5198 0.5198 0.0000
0.2500 0.7500 0.5000
0.7500 0.2500 0.5000
```

Summary:
D(E_F) ... 1.93 states/eV/f.u.
Spin magnetization ... 0.0000 μB/atom
E ... -0.14852 Ha/atom
ΔE_f (raw) ... 428 meV per atom